1:
Entry from the Alexandria database: a geometry-optimized CsCa3F structure (GGA-PBE).

Unit cell a=5.7733 b=5.7733 c=5.7733 alpha=90.00 beta=90.00 gamma=90.00
Fractional positions:
Cs (0.5000, 0.5000, 0.5000)
Ca (0.5000, 0.0000, 0.0000)
Ca (0.0000, 0.5000, 0.0000)
Ca (0.0000, 0.0000, 0.5000)
F (0.0000, 0.0000, 0.0000)

The density comes out at 2.35 Mg/m³. Its volume is 192.43 Å³/cell. As for the space group: Pm-3m (221).

2:
Entry from the Alexandria database: a geometry-optimized CsCa3F structure (GGA-PBE).

Unit cell a=6.7535 b=6.7535 c=6.7535 alpha=90.00 beta=90.00 gamma=90.00
Each line ends with the local moment (μB).
Fractional positions:
Ca (0.5000, 0.0000, 0.0000)  0.18
Ca (0.0000, 0.5000, 0.0000)  0.28
Ca (0.0000, 0.0000, 0.5000)  0.32
Cs (0.0000, 0.0000, 0.0000)  0.23
F (0.5000, 0.5000, 0.5000)  0.04

The density comes out at 1.47 Mg/m³. Its volume is 308.02 Å³/cell. As for the space group: Pm-3m (221).

Stability summary: most stable 1, least stable 2.